Li4BeH6 | PBE | optimized geometry

a = 5.2045 Å, b = 5.2045 Å, c = 9.1884 Å
α = 109.62°, β = 109.62°, γ = 58.63°
Sites, in units of the cell vectors:
Li  0.0937  0.9063  0.5000
Li  0.2342  0.4560  0.9919
Li  0.4348  0.8181  0.8448
Li  0.4560  0.2342  0.4919
Li  0.6798  0.9309  0.1837
Li  0.8181  0.4348  0.3448
Li  0.9063  0.0937  0.0000
Li  0.9309  0.6798  0.6837
Be  0.2873  0.8429  0.2490
Be  0.8429  0.2873  0.7490
H  0.0764  0.5635  0.5046
H  0.1014  0.6891  0.1840
H  0.1376  0.1419  0.2113
H  0.1419  0.1376  0.7113
H  0.1612  0.7324  0.8815
H  0.3951  0.8642  0.4168
H  0.5593  0.6497  0.1808
H  0.5635  0.0764  0.0046
H  0.6497  0.5593  0.6808
H  0.6891  0.1014  0.6840
H  0.7324  0.1612  0.3815
H  0.8642  0.3951  0.9168

Output
The calculation puts the final energy at -3.203 eV per atom. As for the space group: Cc, No. 9.

***

LiFe3N | PBE | optimized geometry

a = 3.7600 Å, b = 3.7600 Å, c = 3.7600 Å
α = 90.00°, β = 90.00°, γ = 90.00°
Sites, in units of the cell vectors:
Li  0.0000  0.0000  0.0000
Fe  0.0000  0.5000  0.5000
Fe  0.5000  0.0000  0.5000
Fe  0.5000  0.5000  0.0000
N  0.5000  0.5000  0.5000

Output
For the excess energy over the best structure of this formula in the dataset, the calculation gives 0.000 eV/atom. The calculation puts the formation energy from raw total energies at -0.04 eV per atom. As for the space group: Pm-3m, No. 221.

***

BaTeC2S | PBE | optimized geometry

a = 4.7952 Å, b = 4.7952 Å, c = 7.2095 Å
α = 90.00°, β = 90.00°, γ = 90.00°
Sites, in units of the cell vectors:
Ba  0.0000  0.0000  0.0000
Te  0.0000  0.0000  0.5000
C  0.0000  0.5000  0.0000
C  0.5000  0.0000  0.0000
S  0.5000  0.5000  0.5000

Output
The calculation puts the formation energy from raw total energies at 2.62 eV per atom. As for the space group: P4/mmm, No. 123.

***

Nd3Dy8Sc3 | PBE | optimized geometry

a = 10.2238 Å, b = 10.2238 Å, c = 10.2238 Å
α = 149.23°, β = 124.12°, γ = 65.16°
Sites, in units of the cell vectors:
Nd  0.0000  0.0000  0.0000
Nd  0.2590  0.5000  0.7590
Nd  0.7410  0.5000  0.2410
Dy  0.1136  0.8747  0.2389
Dy  0.1435  0.2998  0.8438
Dy  0.3642  0.1253  0.2389
Dy  0.4560  0.2998  0.1562
Dy  0.5440  0.7002  0.8438
Dy  0.6358  0.8747  0.7611
Dy  0.8565  0.7002  0.1562
Dy  0.8864  0.1253  0.7611
Sc  0.1722  0.6722  0.5000
Sc  0.5000  0.0000  0.5000
Sc  0.8278  0.3278  0.5000

Output
The formation energy comes out at 5.29 eV per formula unit. As for the space group: Immm, No. 71.

***

ZrTaF3 | PBE | optimized geometry

a = 4.3849 Å, b = 4.3849 Å, c = 4.3849 Å
α = 90.00°, β = 90.00°, γ = 90.00°
Sites, in units of the cell vectors:
Zr  0.0000  0.0000  0.0000
Ta  0.5000  0.5000  0.5000
F  0.0000  0.0000  0.5000
F  0.0000  0.5000  0.0000
F  0.5000  0.0000  0.0000

Output
For the excess energy over the best structure of this formula in the dataset, the calculation gives 0.000 eV/atom. The calculation puts the formation energy from raw total energies at -1.10 eV per atom. As for the space group: Pm-3m, No. 221.

***

YCr8Fe4 | PBE | optimized geometry

a = 6.4195 Å, b = 6.4195 Å, c = 6.4195 Å
α = 97.48°, β = 97.48°, γ = 137.71°
Sites, in units of the cell vectors:
Y  0.0000  0.0000  0.0000
Cr  0.0000  0.0000  0.5000
Cr  0.0000  0.5000  0.0000
Cr  0.2658  0.5000  0.7658
Cr  0.5000  0.0000  0.0000
Cr  0.5000  0.2658  0.7658
Cr  0.5000  0.5000  0.5000
Cr  0.5000  0.7342  0.2342
Cr  0.7342  0.5000  0.2342
Fe  0.0000  0.3634  0.3634
Fe  0.0000  0.6366  0.6366
Fe  0.3634  0.0000  0.3634
Fe  0.6366  0.0000  0.6366

Output
The formation energy comes out at 1.74 eV per formula unit. As for the space group: I4/mmm, No. 139.

***

Zn2CuTc | PBE | optimized geometry

a = 2.6154 Å, b = 2.6154 Å, c = 8.2955 Å
α = 90.00°, β = 90.00°, γ = 104.64°
Sites, in units of the cell vectors:
Zn  0.0000  0.0000  0.2392
Zn  0.0000  0.0000  0.7608
Cu  0.5000  0.5000  0.0000
Tc  0.5000  0.5000  0.5000

Output
For the excess energy over the best structure of this formula in the dataset, the calculation gives 0.025 eV/atom. The formation energy comes out at 0.12 eV per formula unit. As for the space group: Cmmm, No. 65.

***

VCu2HAu | PBE | optimized geometry

a = 4.8746 Å, b = 4.8746 Å, c = 3.2889 Å
α = 90.00°, β = 90.00°, γ = 90.00°
Sites, in units of the cell vectors:
V  0.0000  0.0000  0.0000
Cu  0.0000  0.5000  0.5000
Cu  0.5000  0.0000  0.5000
H  0.5000  0.5000  0.0000
Au  0.5000  0.5000  0.5000

Output
For the excess energy over the best structure of this formula in the dataset, the calculation gives 0.643 eV/atom. As for the space group: P4/mmm, No. 123.